1.
GGA-PBE ScTlVIn2, optimized geometry; volume = 185.1 Å³/f.u.; electronic total energy = -4.037 eV/atom; ΔE_f = 0.622 eV/atom
1.0
5.664 0.000 0.000
0.000 5.664 0.000
0.000 0.000 5.769
Sc Tl V In
1 1 1 2
direct
0.000 0.000 0.000
0.500 0.500 0.000
0.000 0.000 0.500
0.000 0.500 0.500
0.500 0.000 0.500

2.
GGA-PBE Sc2TlVIn, optimized geometry; volume = 144.2 Å³/f.u.; electronic total energy = -4.665 eV/atom; ΔE_f = 0.712 eV/atom
1.0
5.341 0.000 0.000
0.000 5.341 0.000
0.000 0.000 5.056
Sc Tl V In
2 1 1 1
direct
0.000 0.500 0.000
0.500 0.000 0.000
0.000 0.000 0.000
0.000 0.000 0.500
0.500 0.500 0.500

Question: Which formula does entry 1 have?
Answer: ScTlVIn2